! GGA-PBE LiCuAs2O6, optimized geometry; values from VASP
&SYSTEM
  ibrav = 0, nat = 20, ntyp = 4
/
ATOMIC_SPECIES
Li 6.94 Li.upf
Cu 63.55 Cu.upf
As 74.92 As.upf
O 16.00 O.upf
ATOMIC_POSITIONS angstrom
Li 3.814 2.925 3.677
Li 4.839 -2.925 1.226
Cu 4.839 3.883 1.226
Cu 3.814 -3.883 3.677
As 2.580 0.960 1.289
As 1.555 -0.960 3.740
As 7.098 0.960 1.163
As 6.073 -0.960 3.614
O 0.994 0.948 0.645
O 3.259 2.388 1.867
O -0.032 -0.948 3.096
O 3.748 0.379 0.051
O 6.420 2.388 0.585
O 2.723 -0.379 2.503
O 5.931 0.379 2.400
O 2.234 -2.388 4.318
O 4.905 -0.379 4.851
O 8.685 0.948 1.806
O 5.395 -2.388 3.036
O 7.660 -0.948 4.258
CELL_PARAMETERS angstrom
5.352 -5.074 0.000
5.352 5.074 0.000
-2.051 0.000 4.903
! * SG: C2/c (15)
! * uncorrected formation energy: -1178 meV per atom
! * M_tot: 0.00 μB/f.u.